(1)
A plane-wave DFT calculation with PBE+U was carried out for a relaxed structure of TlVRe2O8.

Properties
The density is 5.59 g/cm3. The calculation puts the total energy at -7.75 eV per atom. The density of states at the Fermi level is 5.00 states/eV/f.u.

a b c (Å): 5.8567 5.8567 7.5597
angles (deg): 90.00 90.00 120.00
Space group P-3m1 (No. 164)
One atom of each set of equivalent atoms:
Tl  0.0000  0.0000  0.0000 (multiplicity 1)
V  0.0000  0.0000  0.5000 (multiplicity 1)
Re  0.3333  0.6667  0.7378 (multiplicity 2)
O  0.1668  0.3335  0.6615 (multiplicity 6)
O  0.3333  0.6667  0.9711 (multiplicity 2)

***

(2)
A plane-wave DFT calculation with PBE+U was carried out for a relaxed structure of TlV2ReO.

Properties
The density is 5.76 g/cm3. The calculation puts the total energy at -4.39 eV per atom. The density of states at the Fermi level is 3.80 states/eV/f.u.

a b c (Å): 5.364 5.364 5.094
angles (deg): 90.00 90.00 90.00
Space group P4/mmm (No. 123)
One atom of each set of equivalent atoms:
Tl  0.000  0.000  0.000 (multiplicity 1)
V  0.000  0.500  0.000 (multiplicity 2)
Re  0.000  0.000  0.500 (multiplicity 1)
O  0.500  0.500  0.500 (multiplicity 1)

***

(3)
A plane-wave DFT calculation with PBE+U was carried out for a relaxed structure of Tl2ReWO6.

Properties
The density is 8.27 g/cm3. The calculation puts the total energy at -6.73 eV per atom. The density of states at the Fermi level is 3.61 states/eV/f.u.

a b c (Å): 7.702 7.702 7.055
angles (deg): 90.00 122.95 90.00
Space group C2/m (No. 12)
One atom of each set of equivalent atoms:
Tl  0.000  0.250  0.000 (multiplicity 4)
Re  0.000  0.000  0.500 (multiplicity 2)
W  0.000  0.500  0.500 (multiplicity 2)
O  0.000  0.241  0.500 (multiplicity 4)
O  0.159  0.500  0.820 (multiplicity 4)
O  0.241  0.000  0.500 (multiplicity 4)